Entry 1:
NpIBr2O6 | PBE | optimized geometry

The value obtained for the final energy is -5.803 eV per atom. For the volume, the calculation gives 218.3 Å³/f.u. The magnetization comes out at 0.00 μB per atom. The calculation puts the density of states at the Fermi level at 0.1024 states/eV per atom. The value obtained for the uncorrected formation energy is -1045 meV/atom.

The space group is P-1 (No. 2) and the conventional cell measures 5.580, 5.729 and 7.045 Å, with angles of 80.52, 79.44 and 87.18 degrees. Symmetry generates all atoms from Np at (0.000, 0.000, 0.000), I at (0.500, 0.500, 0.000), Br at (0.383, 0.654, 0.563), O at (0.143, 0.977, 0.749), O at (0.215, 0.701, 0.098) and O at (0.282, 0.231, 0.022).

***

Entry 2:
Ta2Fe | PBE | optimized geometry

The value obtained for the final energy is -10.230 eV per atom. For the volume, the calculation gives 51.6 Å³/f.u. The magnetization comes out at 0.00 μB per atom. Its energy of formation from the pure elements is 48 kJ per mole of atoms. The calculation puts the density of states at the Fermi level at 0.8032 states/eV per atom.

The space group is Pnnm (No. 58) and the conventional cell measures 5.943, 5.958 and 2.914 Å, with angles of 90.00, 90.00 and 90.00 degrees. Symmetry generates all atoms from Ta at (0.149, 0.202, 0.000) and Fe at (0.000, 0.500, 0.500).

***

Question: The highest final energy belongs to which entry?
Answer: NpIBr2O6

***

Question: Look up the volume of the first one.
Answer: 218.3 Å³/f.u.

***

Please write out number 2 again, unchanged.
Ta2Fe | PBE | optimized geometry

The value obtained for the final energy is -10.230 eV per atom. For the volume, the calculation gives 51.6 Å³/f.u. The magnetization comes out at 0.00 μB per atom. Its energy of formation from the pure elements is 48 kJ per mole of atoms. The calculation puts the density of states at the Fermi level at 0.8032 states/eV per atom.

The space group is Pnnm (No. 58) and the conventional cell measures 5.943, 5.958 and 2.914 Å, with angles of 90.00, 90.00 and 90.00 degrees. Symmetry generates all atoms from Ta at (0.149, 0.202, 0.000) and Fe at (0.000, 0.500, 0.500).